(1)
LaBeIrRh2 after structural relaxation. Source: the Alexandria database, functional PBE.

a = 4.9025 Å, b = 4.2033 Å, c = 4.9025 Å
α = 90.00°, β = 90.00°, γ = 90.00°
With the nearest neighbours (Å) after each atom.
Sites, in units of the cell vectors:
1 Be 0.0000 0.5000 0.0000  2 Ir 2.10
2 Ir 0.0000 0.0000 0.0000  2 Be 2.10
3 Rh 0.0000 0.0000 0.5000  2 Ir 2.45
4 Rh 0.5000 0.0000 0.0000  2 Ir 2.45
5 La 0.5000 0.5000 0.5000  8 Rh 3.23, 4 Be 3.47

Summary:
**E_tot**: -6.30 eV/atom
**Energy above the lowest structure with this stoichiometry**: 626 meV/atom
**D(E_F)**: 6.563 states/eV/f.u.
**Energy of formation from the pure elements**: 146 meV per atom
**ρ**: 9.0 Mg/m³
**Total magnetization**: 0.1 μB per formula unit


(2)
Pr4Sm3Tl after structural relaxation. Source: the Alexandria database, functional PBE.

a = 6.3298 Å, b = 7.2871 Å, c = 11.5545 Å
α = 90.00°, β = 90.00°, γ = 90.00°
With the nearest neighbours (Å) after each atom.
Sites, in units of the cell vectors:
1 Pr 0.1739 0.6288 0.0000  5 Pr 3.40-3.71, 4 Sm 3.49-3.78, 2 Tl 3.50-3.79
2 Pr 0.6194 0.3690 0.0000  5 Pr 3.40-3.78, 1 Tl 3.51, 4 Sm 3.61-3.69
3 Pr 0.9878 0.3648 0.2285  1 Tl 3.39, 6 Pr 3.47-3.78, 5 Sm 3.50-3.80
4 Pr 0.4878 0.6352 0.2715  1 Tl 3.39, 6 Pr 3.47-3.78, 5 Sm 3.50-3.80
5 Pr 0.1194 0.6310 0.5000  5 Pr 3.40-3.78, 1 Tl 3.51, 4 Sm 3.61-3.69
6 Pr 0.6739 0.3712 0.5000  5 Pr 3.40-3.71, 4 Sm 3.49-3.78, 2 Tl 3.50-3.79
7 Pr 0.4878 0.6352 0.7285  1 Tl 3.39, 6 Pr 3.47-3.78, 5 Sm 3.50-3.80
8 Pr 0.9878 0.3648 0.7715  1 Tl 3.39, 6 Pr 3.47-3.78, 5 Sm 3.50-3.80
9 Sm 0.6475 0.8744 0.0000  6 Pr 3.49-3.78, 4 Sm 3.50-3.61, 2 Tl 3.57-3.63
10 Sm 0.9732 0.8852 0.2445  2 Tl 3.46-3.58, 4 Sm 3.50-3.61, 6 Pr 3.50-3.80
11 Sm 0.4732 0.1148 0.2555  2 Tl 3.46-3.58, 4 Sm 3.50-3.61, 6 Pr 3.50-3.80
12 Sm 0.1475 0.1256 0.5000  6 Pr 3.49-3.78, 4 Sm 3.50-3.61, 2 Tl 3.57-3.63
13 Sm 0.4732 0.1148 0.7445  2 Tl 3.46-3.58, 4 Sm 3.50-3.61, 6 Pr 3.50-3.80
14 Sm 0.9732 0.8852 0.7555  2 Tl 3.46-3.58, 4 Sm 3.50-3.61, 6 Pr 3.50-3.80
15 Tl 0.1526 0.1093 0.0000  5 Pr 3.39-3.79, 6 Sm 3.46-3.63
16 Tl 0.6526 0.8907 0.5000  5 Pr 3.39-3.79, 6 Sm 3.46-3.63

Summary:
**E_tot**: -4.52 eV/atom
**Energy above the lowest structure with this stoichiometry**: 0 meV/atom
**D(E_F)**: 9.509 states/eV/f.u.
**Energy of formation from the pure elements**: -67 meV per atom
**ρ**: 7.6 Mg/m³
**Total magnetization**: 0.0 μB per formula unit


(3)
MgAgAs2 after structural relaxation. Source: the Alexandria database, functional PBE.

a = 8.8988 Å, b = 8.8988 Å, c = 8.8988 Å
α = 20.84°, β = 20.84°, γ = 20.84°
With the nearest neighbours (Å) after each atom.
Sites, in units of the cell vectors:
1 Ag 0.7500 0.7500 0.7500  6 As 2.90, 6 Ag 3.22
2 As 0.9979 0.9979 0.9979  3 Mg 2.82, 3 Ag 2.90
3 As 0.5021 0.5021 0.5021  3 Mg 2.82, 3 Ag 2.90
4 Mg 0.2500 0.2500 0.2500  6 As 2.82

Summary:
**E_tot**: -3.42 eV/atom
**D(E_F)**: 0.250 states/eV/f.u.
**Energy of formation from the pure elements**: 14 meV per atom
**ρ**: 6.0 Mg/m³
**Total magnetization**: 0.0 μB per formula unit


(4)
HoTh2Mg after structural relaxation. Source: the Alexandria database, functional PBE.

a = 3.4502 Å, b = 3.4502 Å, c = 11.9543 Å
α = 81.70°, β = 81.70°, γ = 60.00°
With the nearest neighbours (Å) after each atom.
Sites, in units of the cell vectors:
1 Ho 0.6664 0.6664 0.0007  6 Ho 3.45, 6 Th 3.57-3.59
2 Th 0.0842 0.0842 0.7473  6 Th 3.45, 3 Mg 3.54, 3 Ho 3.59
3 Th 0.2492 0.2492 0.2525  6 Th 3.45, 3 Mg 3.53, 3 Ho 3.57
4 Mg 0.5002 0.5002 0.4995  6 Mg 3.45, 6 Th 3.53-3.54

Summary:
**E_tot**: -5.15 eV/atom
**Energy above the lowest structure with this stoichiometry**: 92 meV/atom
**D(E_F)**: 5.352 states/eV/f.u.
**Energy of formation from the pure elements**: 99 meV per atom
**ρ**: 8.9 Mg/m³
**Total magnetization**: 0.0 μB per formula unit